# La2PmCdO

An optimized crystal structure of La2PmCdO (PBE-GGA, Alexandria via LeMat-Bulk).

Properties
ρ ... 7123 kg/m³
Formation energy from raw total energies ... -1294 meV/atom

a = 5.085 Å, b = 5.085 Å, c = 4.971 Å
α = 90.00°, β = 90.00°, γ = 90.00°
Sites, in units of the cell vectors:
La: 0.000 0.500 0.000
La: 0.500 0.000 0.000
Pm: 0.000 0.000 0.500
Cd: 0.500 0.500 0.500
O: 0.000 0.000 0.000

# La2PrCdO

An optimized crystal structure of La2PrCdO (PBE-GGA, Alexandria via LeMat-Bulk).

Properties
ρ ... 6949 kg/m³
Formation energy from raw total energies ... -1287 meV/atom

a = 5.075 Å, b = 5.075 Å, c = 5.076 Å
α = 90.00°, β = 90.00°, γ = 90.00°
Sites, in units of the cell vectors:
La: 0.000 0.500 0.000
La: 0.500 0.000 0.000
Pr: 0.000 0.000 0.500
Cd: 0.500 0.500 0.500
O: 0.000 0.000 0.000

# LaPr2CdO

An optimized crystal structure of LaPr2CdO (PBE-GGA, Alexandria via LeMat-Bulk).

Properties
ρ ... 7051 kg/m³
Formation energy from raw total energies ... -1273 meV/atom

a = 5.060 Å, b = 5.060 Å, c = 5.051 Å
α = 90.00°, β = 90.00°, γ = 90.00°
Sites, in units of the cell vectors:
La: 0.000 0.000 0.000
Pr: 0.000 0.500 0.500
Pr: 0.500 0.000 0.500
Cd: 0.500 0.500 0.000
O: 0.000 0.000 0.500

# La2CdPtO5

An optimized crystal structure of La2CdPtO5 (PBE-GGA, Alexandria via LeMat-Bulk).

Properties
ρ ... 7930 kg/m³
Formation energy from raw total energies ... -2032 meV/atom

a = 6.962 Å, b = 6.962 Å, c = 5.749 Å
α = 90.00°, β = 90.00°, γ = 90.00°
Sites, in units of the cell vectors:
La: 0.175 0.325 0.000
La: 0.325 0.825 0.000
La: 0.675 0.175 0.000
La: 0.825 0.675 0.000
Cd: 0.000 0.000 0.500
Cd: 0.500 0.500 0.500
Pt: 0.000 0.500 0.500
Pt: 0.500 0.000 0.500
O: 0.000 0.000 0.000
O: 0.144 0.644 0.254
O: 0.144 0.644 0.746
O: 0.356 0.144 0.254
O: 0.356 0.144 0.746
O: 0.500 0.500 0.000
O: 0.644 0.856 0.254
O: 0.644 0.856 0.746
O: 0.856 0.356 0.254
O: 0.856 0.356 0.746

# La2CdPtO6

An optimized crystal structure of La2CdPtO6 (PBE-GGA, Alexandria via LeMat-Bulk).

Properties
ρ ... 8029 kg/m³
Formation energy from raw total energies ... -2130 meV/atom

a = 5.686 Å, b = 6.060 Å, c = 9.949 Å
α = 90.00°, β = 124.72°, γ = 90.00°
Sites, in units of the cell vectors:
La: 0.231 0.066 0.252
La: 0.231 0.434 0.752
La: 0.769 0.566 0.248
La: 0.769 0.934 0.748
Cd: 0.500 0.000 0.000
Cd: 0.500 0.500 0.500
Pt: 0.000 0.000 0.500
Pt: 0.000 0.500 0.000
O: 0.104 0.214 0.932
O: 0.104 0.286 0.432
O: 0.242 0.681 0.946
O: 0.242 0.819 0.446
O: 0.354 0.051 0.734
O: 0.354 0.449 0.234
O: 0.646 0.551 0.766
O: 0.646 0.949 0.266
O: 0.758 0.181 0.554
O: 0.758 0.319 0.054
O: 0.896 0.714 0.568
O: 0.896 0.786 0.068

# LaCdPt2O

An optimized crystal structure of LaCdPt2O (PBE-GGA, Alexandria via LeMat-Bulk).

Properties
ρ ... 10938 kg/m³
Formation energy from raw total energies ... -578 meV/atom

a = 4.718 Å, b = 4.718 Å, c = 4.485 Å
α = 90.00°, β = 90.00°, γ = 90.00°
Sites, in units of the cell vectors:
La: 0.000 0.000 0.000
Cd: 0.500 0.500 0.000
Pt: 0.000 0.500 0.500
Pt: 0.500 0.000 0.500
O: 0.000 0.000 0.500

# LaPuCd2O6

An optimized crystal structure of LaPuCd2O6 (PBE-GGA, Alexandria via LeMat-Bulk).

Properties
ρ ... 7541 kg/m³
Formation energy from raw total energies ... -2228 meV/atom

a = 6.219 Å, b = 6.219 Å, c = 6.219 Å
α = 56.16°, β = 56.16°, γ = 56.16°
Sites, in units of the cell vectors:
La: 0.000 0.000 0.000
Pu: 0.490 0.490 0.490
Cd: 0.275 0.275 0.275
Cd: 0.785 0.785 0.785
O: 0.119 0.688 0.401
O: 0.228 0.593 0.863
O: 0.401 0.119 0.688
O: 0.593 0.863 0.228
O: 0.688 0.401 0.119
O: 0.863 0.228 0.593

# Rb3La2CdO6

An optimized crystal structure of Rb3La2CdO6 (PBE-GGA, Alexandria via LeMat-Bulk).

Properties
ρ ... 5337 kg/m³
Formation energy from raw total energies ... -2000 meV/atom

a = 6.433 Å, b = 6.433 Å, c = 6.848 Å
α = 97.62°, β = 97.62°, γ = 122.03°
Sites, in units of the cell vectors:
Rb: 0.000 0.000 0.000
Rb: 0.341 0.659 0.000
Rb: 0.659 0.341 0.000
La: 0.165 0.835 0.500
La: 0.835 0.165 0.500
Cd: 0.500 0.500 0.500
O: 0.090 0.433 0.308
O: 0.234 0.234 0.680
O: 0.433 0.090 0.308
O: 0.567 0.910 0.692
O: 0.766 0.766 0.320
O: 0.910 0.567 0.692

Copy entry 6 word for word.
# LaCdPt2O

An optimized crystal structure of LaCdPt2O (PBE-GGA, Alexandria via LeMat-Bulk).

Properties
ρ ... 10938 kg/m³
Formation energy from raw total energies ... -578 meV/atom

a = 4.718 Å, b = 4.718 Å, c = 4.485 Å
α = 90.00°, β = 90.00°, γ = 90.00°
Sites, in units of the cell vectors:
La: 0.000 0.000 0.000
Cd: 0.500 0.500 0.000
Pt: 0.000 0.500 0.500
Pt: 0.500 0.000 0.500
O: 0.000 0.000 0.500

Question: Which formula does entry 1 have?
Answer: La2PmCdO

Question: Which of these has the lowest formation energy from raw total energies?
Answer: LaPuCd2O6

Repeat the eighth record exactly.
# Rb3La2CdO6

An optimized crystal structure of Rb3La2CdO6 (PBE-GGA, Alexandria via LeMat-Bulk).

Properties
ρ ... 5337 kg/m³
Formation energy from raw total energies ... -2000 meV/atom

a = 6.433 Å, b = 6.433 Å, c = 6.848 Å
α = 97.62°, β = 97.62°, γ = 122.03°
Sites, in units of the cell vectors:
Rb: 0.000 0.000 0.000
Rb: 0.341 0.659 0.000
Rb: 0.659 0.341 0.000
La: 0.165 0.835 0.500
La: 0.835 0.165 0.500
Cd: 0.500 0.500 0.500
O: 0.090 0.433 0.308
O: 0.234 0.234 0.680
O: 0.433 0.090 0.308
O: 0.567 0.910 0.692
O: 0.766 0.766 0.320
O: 0.910 0.567 0.692